## Hf6Zn2Co (PBE-GGA)

Data for a geometry-optimized Hf6Zn2Co structure.

Output
E_form   -190 meV/atom
ρ   12.13 Mg/m³
Offset from the most stable computed form   0.000 eV per atom
Size of the total moment   0.0 Bohr magnetons per cell

POSCAR file:
```
Hf6Zn2Co
1.0
-1.0952 2.4852 1.7589
-7.1062 -0.8511 -3.2224
1.8104 -3.8644 6.5873
Hf Zn Co
6 2 1
Cartesian
-4.8247 0.7304 -1.0600 Hf
-2.6561 -0.6347 2.2190 Hf
0.5418 -1.0833 4.8442 Hf
-1.7825 -0.2135 -0.8083 Hf
-3.9675 -3.5327 2.5209 Hf
0.4540 -0.9693 1.6522 Hf
-1.1615 -2.8598 3.3174 Zn
-4.1337 -1.8556 0.0478 Zn
-0.5479 1.2426 0.8793 Co
```

=====

## Hf3Zn3Co2 (PBE-GGA)

Data for a geometry-optimized Hf3Zn3Co2 structure.

Output
E_form   -337 meV/atom
ρ   10.76 Mg/m³
Size of the total moment   0.0 Bohr magnetons per cell

POSCAR file:
```
Hf3Zn3Co2
1.0
3.2665 0.0000 0.0000
0.0000 5.8957 -3.4039
0.0000 0.0000 6.8078
Hf Zn Co
3 3 2
Cartesian
1.6332 2.4997 1.4432 Hf
1.6332 3.3960 -1.9607 Hf
1.6332 0.0000 3.9214 Hf
0.0000 4.5583 2.6317 Zn
0.0000 1.3375 -0.7722 Zn
0.0000 0.0000 1.5444 Zn
0.0000 1.9652 3.4039 Co
0.0000 3.9305 0.0000 Co
```

=====

## HfZn2Co2 (PBE-GGA)

Data for a geometry-optimized HfZn2Co2 structure.

Output
E_form   -58 meV/atom
ρ   9.76 Mg/m³
Offset from the most stable computed form   0.030 eV per atom
Size of the total moment   0.0 Bohr magnetons per cell

POSCAR file:
```
HfZn2Co2
1.0
-3.4499 1.1422 0.0342
-0.8787 -2.7211 2.2431
-1.0580 2.4222 5.4680
Co Zn Hf
2 2 1
Cartesian
-1.9435 -0.1484 2.0028 Co
-3.4431 0.9917 5.7425 Co
-3.3361 1.3875 3.3204 Zn
-2.0505 -0.5442 4.4249 Zn
0.0000 0.0000 0.0000 Hf
```

=====

## Hf3Zn2Co (PBE-GGA)

Data for a geometry-optimized Hf3Zn2Co structure.

Output
E_form   -174 meV/atom
ρ   11.23 Mg/m³
Size of the total moment   0.0 Bohr magnetons per cell

POSCAR file:
```
Hf3Zn2Co
1.0
-0.0705 -1.4237 -3.7700
9.7287 1.3856 -0.7052
1.6946 -9.9940 3.7423
Hf Zn Co
12 8 4
Cartesian
3.6307 -0.2424 -1.0536 Hf
7.7221 -9.7897 0.3207 Hf
9.1726 -4.4654 -1.7170 Hf
2.1802 -5.5667 0.9841 Hf
7.1460 -1.7147 -0.5634 Hf
4.2068 -8.3174 -0.1695 Hf
2.3060 -3.4705 -1.9643 Hf
9.0468 -6.5617 1.2314 Hf
4.7967 -3.5010 0.1551 Hf
6.5561 -6.5311 -0.8880 Hf
9.2046 -1.0362 -3.0126 Hf
2.1482 -8.9959 2.2797 Hf
7.5019 -4.3414 0.4219 Zn
3.8509 -5.6907 -1.1548 Zn
1.7752 -0.8686 -2.9369 Zn
9.5776 -9.1635 2.2040 Zn
10.0694 -2.1473 -0.4547 Zn
1.2834 -7.8849 -0.2782 Zn
4.9482 -2.2452 -2.4764 Zn
6.4046 -7.7869 1.7435 Zn
1.3323 -1.4436 -0.5570 Co
10.0205 -8.5885 -0.1759 Co
6.5848 -3.9602 -1.8594 Co
4.7680 -6.0719 1.1265 Co
```